First-principles (GGA-PBE) data for a relaxed LiGa2Fe2 crystal, as listed in Alexandria.

```
data_LiGa2Fe2
_chemical_formula_sum 'Li2 Ga4 Fe4'
_cell_length_a 3.479
_cell_length_b 3.479
_cell_length_c 12.144
_cell_angle_alpha 90.00
_cell_angle_beta 90.00
_cell_angle_gamma 90.00
_symmetry_space_group_name_H-M 'I 4/m m m'
_symmetry_Int_Tables_number 139
_symmetry_space_group_name_Hall '-I 4 2'
loop_
_atom_site_label
_atom_site_type_symbol
_atom_site_fract_x
_atom_site_fract_y
_atom_site_fract_z
_atom_site_occupancy
Li1 Li 0.000 0.000 0.000 1
Ga1 Ga 0.000 0.000 0.396 1
Fe1 Fe 0.000 0.500 0.250 1
```

Calculated values
Formation energy from the elements: 0.005 eV per atom
Relative energy among the computed polymorphs: 0.137 eV/atom
DFT total energy: -4.974 eV/atom